CdTcGeO6: optimized geometry, PBE.

Lattice parameters (Å, degrees): 5.1249 5.1249 9.7234 90.00 90.00 120.00
Space group P-31c (No. 163)
Unique sites:
Cd 0.0000 0.0000 0.0000 (multiplicity 2)
Tc 0.3333 0.6667 0.2500 (multiplicity 2)
Ge 0.3333 0.6667 0.7500 (multiplicity 2)
O 0.0024 0.3743 0.6419 (multiplicity 12)

Calculated values
E_form (uncorrected) (meV/atom): -1311

=====

PaBi3: optimized geometry, PBE.

Lattice parameters (Å, degrees): 3.548 11.426 5.821 90.00 90.00 90.00
Space group Imm2 (No. 44)
Unique sites:
Pa 0.000 0.000 0.000 (multiplicity 2)
Bi 0.000 0.264 0.324 (multiplicity 4)
Bi 0.000 0.500 0.990 (multiplicity 2)

Calculated values
Energy of formation (eV per formula unit): -0.1
Polymorph energy (0 for the lowest one) (meV per atom): 102

=====

BaSi2P: optimized geometry, PBE.

Lattice parameters (Å, degrees): 4.163 4.590 5.311 90.00 95.93 90.00
Space group P2/m (No. 10)
Unique sites:
Ba 0.000 0.000 0.000 (multiplicity 1)
Si 0.276 0.500 0.617 (multiplicity 2)
P 0.500 0.000 0.500 (multiplicity 1)

Calculated values
E_form (uncorrected) (meV/atom): -165

=====

IrRu2: optimized geometry, PBE.

Lattice parameters (Å, degrees): 7.096 7.096 7.096 90.00 90.00 90.00
Space group Fd-3m (No. 227, origin choice 2)
Unique sites:
Ir 0.125 0.125 0.125 (multiplicity 8)
Ru 0.000 0.000 0.500 (multiplicity 16)

Calculated values
Energy of formation (eV per formula unit): 1.9
Polymorph energy (0 for the lowest one) (meV per atom): 697

=====

MnRe4Au: optimized geometry, PBE.

Lattice parameters (Å, degrees): 7.330 7.330 7.330 90.00 90.00 90.00
Space group F-43m (No. 216)
Unique sites:
Mn 0.000 0.000 0.000 (multiplicity 4)
Re 0.125 0.125 0.625 (multiplicity 16)
Au 0.250 0.250 0.250 (multiplicity 4)

Calculated values
Energy of formation (eV per formula unit): 3.4

=====

HoB3O6: optimized geometry, PBE.

Lattice parameters (Å, degrees): 16.005 7.422 12.298 90.00 90.00 90.00
Space group Pnma (No. 62)
Unique sites:
Ho 0.049 0.250 0.087 (multiplicity 4)
Ho 0.119 0.750 0.510 (multiplicity 4)
Ho 0.129 0.750 0.235 (multiplicity 4)
Ho 0.173 0.250 0.436 (multiplicity 4)
B 0.033 0.060 0.323 (multiplicity 8)
B 0.056 0.073 0.845 (multiplicity 8)
B 0.109 0.076 0.643 (multiplicity 8)
B 0.152 0.578 0.982 (multiplicity 8)
B 0.217 0.070 0.813 (multiplicity 8)
B 0.242 0.069 0.127 (multiplicity 8)
O 0.023 0.520 0.209 (multiplicity 8)
O 0.048 0.250 0.898 (multiplicity 4)
O 0.048 0.565 0.622 (multiplicity 8)
O 0.067 0.250 0.307 (multiplicity 4)
O 0.069 0.559 0.932 (multiplicity 8)
O 0.078 0.250 0.605 (multiplicity 4)
O 0.097 0.545 0.378 (multiplicity 8)
O 0.128 0.073 0.765 (multiplicity 8)
O 0.159 0.750 0.041 (multiplicity 4)
O 0.164 0.066 0.064 (multiplicity 8)
O 0.185 0.034 0.576 (multiplicity 8)
O 0.218 0.565 0.898 (multiplicity 8)
O 0.224 0.520 0.229 (multiplicity 8)
O 0.224 0.750 0.636 (multiplicity 4)
O 0.245 0.250 0.854 (multiplicity 4)

Calculated values
E_form (uncorrected) (meV/atom): -2781

=====

YTlIn2Cl6: optimized geometry, PBE.

Lattice parameters (Å, degrees): 7.330 8.396 12.754 90.00 121.65 90.00
Space group P2_1/c (No. 14)
Unique sites:
Y 0.000 0.000 0.000 (multiplicity 2)
Tl 0.500 0.000 0.500 (multiplicity 2)
In 0.298 0.070 0.774 (multiplicity 4)
Cl 0.096 0.073 0.227 (multiplicity 4)
Cl 0.245 0.741 0.085 (multiplicity 4)
Cl 0.341 0.159 0.033 (multiplicity 4)

Calculated values
E_form (uncorrected) (meV/atom): -1466

=====

PmPr15Ho4: optimized geometry, PBE.

Lattice parameters (Å, degrees): 5.203 5.203 25.888 90.00 90.00 90.00
Space group P4/mmm (No. 123)
Unique sites:
Pm 0.000 0.000 0.000 (multiplicity 1)
Pr 0.000 0.500 0.101 (multiplicity 4)
Pr 0.000 0.500 0.301 (multiplicity 4)
Pr 0.000 0.500 0.500 (multiplicity 2)
Pr 0.500 0.500 0.000 (multiplicity 1)
Pr 0.500 0.500 0.201 (multiplicity 2)
Pr 0.500 0.500 0.400 (multiplicity 2)
Ho 0.000 0.000 0.201 (multiplicity 2)
Ho 0.000 0.000 0.400 (multiplicity 2)

Calculated values
Energy of formation (eV per formula unit): 0.2

=====

K2NaCdAu: optimized geometry, PBE.

Lattice parameters (Å, degrees): 6.321 6.321 5.663 90.00 90.00 90.00
Space group P4/mmm (No. 123)
Unique sites:
K 0.000 0.500 0.000 (multiplicity 2)
Na 0.000 0.000 0.500 (multiplicity 1)
Cd 0.500 0.500 0.500 (multiplicity 1)
Au 0.000 0.000 0.000 (multiplicity 1)

Calculated values
Energy of formation (eV per formula unit): -0.2
Polymorph energy (0 for the lowest one) (meV per atom): 85

=====

SnSe2I: optimized geometry, PBE.

Lattice parameters (Å, degrees): 7.747 7.747 8.893 90.00 90.00 90.00
Space group I-42d (No. 122)
Unique sites:
Sn 0.000 0.000 0.000 (multiplicity 4)
Se 0.187 0.250 0.125 (multiplicity 8)
I 0.000 0.000 0.500 (multiplicity 4)

Calculated values
Polymorph energy (0 for the lowest one) (meV per atom): 177
E_form (uncorrected) (meV/atom): 20

=====

Tb2Nd3DyEr6: optimized geometry, PBE.

Lattice parameters (Å, degrees): 6.180 10.699 11.739 90.00 100.07 90.00
Space group C2/m (No. 12)
Unique sites:
Tb 0.000 0.167 0.000 (multiplicity 4)
Nd 0.000 0.000 0.500 (multiplicity 2)
Nd 0.000 0.333 0.500 (multiplicity 4)
Dy 0.000 0.500 0.000 (multiplicity 2)
Er 0.249 0.000 0.247 (multiplicity 4)
Er 0.249 0.333 0.247 (multiplicity 8)

Calculated values
Energy of formation (eV per formula unit): 0.2

=====

LaZrRu2: optimized geometry, PBE.

Lattice parameters (Å, degrees): 2.983 2.983 9.182 90.00 90.00 90.00
Space group P4mm (No. 99)
Unique sites:
La 0.000 0.000 0.000 (multiplicity 1)
Zr 0.500 0.500 0.654 (multiplicity 1)
Ru 0.000 0.000 0.426 (multiplicity 1)
Ru 0.500 0.500 0.262 (multiplicity 1)

Calculated values
Energy of formation (eV per formula unit): 0.8